No. 1
Computed, not measured: Rb3Y3ScSe8 after structural relaxation at the GGA-PBE level of DFT.

Unit cell a=8.237 b=8.237 c=9.497 alpha=115.70 beta=115.70 gamma=59.99
Fractional coordinates of all 15 atoms:
Rb (0.000, 0.000, 0.000)
Rb (0.000, 0.500, 0.000)
Rb (0.500, 0.000, 0.000)
Y (0.000, 0.500, 0.500)
Y (0.500, 0.000, 0.500)
Y (0.500, 0.500, 0.500)
Sc (0.000, 0.000, 0.500)
Se (0.224, 0.224, 0.689)
Se (0.224, 0.742, 0.689)
Se (0.258, 0.776, 0.311)
Se (0.267, 0.267, 0.303)
Se (0.733, 0.733, 0.697)
Se (0.742, 0.224, 0.689)
Se (0.776, 0.258, 0.311)
Se (0.776, 0.776, 0.311)

Computed properties:
Space-group type ... C2/m (12)
Total magnetic moment ... 0.00 μB/atom
DOS(E_F) ... 0.60 states/eV per atom
Energy ... -5.41 eV/atom
Formation energy from raw total energies ... -1643 meV/atom



No. 2
Computed, not measured: RbScZnSe3 after structural relaxation at the GGA-PBE level of DFT.

Unit cell a=9.161 b=4.023 c=9.980 alpha=90.00 beta=111.65 gamma=90.00
Fractional coordinates of all 12 atoms:
Rb (0.217, 0.250, 0.243)
Rb (0.783, 0.750, 0.757)
Sc (0.333, 0.750, 0.867)
Sc (0.667, 0.250, 0.133)
Zn (0.084, 0.250, 0.610)
Zn (0.916, 0.750, 0.390)
Se (0.125, 0.250, 0.864)
Se (0.211, 0.750, 0.548)
Se (0.474, 0.750, 0.152)
Se (0.526, 0.250, 0.848)
Se (0.789, 0.250, 0.452)
Se (0.875, 0.750, 0.136)

Computed properties:
Space-group type ... P2_1/m (11)
Total magnetic moment ... 0.00 μB/atom
DOS(E_F) ... 0.00 states/eV per atom
Energy ... -4.48 eV/atom
Formation energy from raw total energies ... -1305 meV/atom



No. 3
Computed, not measured: Rb2ScZn2Se4 after structural relaxation at the GGA-PBE level of DFT.

Unit cell a=8.220 b=8.220 c=8.265 alpha=111.34 beta=111.34 gamma=28.43
Fractional coordinates of all 9 atoms:
Rb (0.129, 0.129, 0.062)
Rb (0.871, 0.871, 0.938)
Sc (0.000, 0.000, 0.500)
Zn (0.317, 0.317, 0.496)
Zn (0.683, 0.683, 0.504)
Se (0.185, 0.185, 0.692)
Se (0.475, 0.475, 0.711)
Se (0.525, 0.525, 0.289)
Se (0.815, 0.815, 0.308)

Computed properties:
Space-group type ... C2/m (12)
Total magnetic moment ... 0.00 μB/atom
DOS(E_F) ... 0.46 states/eV per atom
Energy ... -3.79 eV/atom
Formation energy from raw total energies ... -1042 meV/atom



No. 4
Computed, not measured: Rb2ZrSc2Se6 after structural relaxation at the GGA-PBE level of DFT.

Unit cell a=6.808 b=6.808 c=8.502 alpha=97.72 beta=97.72 gamma=119.99
Fractional coordinates of all 11 atoms:
Rb (0.167, 0.833, 0.000)
Rb (0.833, 0.167, 0.000)
Zr (0.000, 0.000, 0.500)
Sc (0.333, 0.667, 0.500)
Sc (0.667, 0.333, 0.500)
Se (0.064, 0.394, 0.686)
Se (0.271, 0.271, 0.314)
Se (0.394, 0.064, 0.686)
Se (0.606, 0.936, 0.314)
Se (0.729, 0.729, 0.686)
Se (0.936, 0.606, 0.314)

Computed properties:
Space-group type ... C2/m (12)
Total magnetic moment ... 0.00 μB/atom
Energy ... -5.56 eV/atom
Formation energy from raw total energies ... -1560 meV/atom



No. 5
Computed, not measured: RbZrScSe2 after structural relaxation at the GGA-PBE level of DFT.

Unit cell a=5.285 b=5.285 c=5.956 alpha=90.00 beta=90.00 gamma=90.00
Fractional coordinates of all 5 atoms:
Rb (0.000, 0.000, 0.000)
Zr (0.000, 0.000, 0.500)
Sc (0.500, 0.500, 0.000)
Se (0.000, 0.500, 0.500)
Se (0.500, 0.000, 0.500)

Computed properties:
Space-group type ... P4/mmm (123)
Total magnetic moment ... 0.51 μB/atom
DOS(E_F) ... 1.02 states/eV per atom
Energy ... -4.38 eV/atom
Formation energy from raw total energies ... 179 meV/atom



No. 6
Computed, not measured: RbScSi3 after structural relaxation at the GGA-PBE level of DFT.

Unit cell a=5.194 b=5.194 c=5.194 alpha=90.00 beta=90.00 gamma=90.00
Fractional coordinates of all 5 atoms:
Rb (0.000, 0.000, 0.000)
Sc (0.500, 0.500, 0.500)
Si (0.000, 0.000, 0.500)
Si (0.000, 0.500, 0.000)
Si (0.500, 0.000, 0.000)

Computed properties:
Space-group type ... Pm-3m (221)
Total magnetic moment ... 0.00 μB/atom
DOS(E_F) ... 0.89 states/eV per atom
Energy ... -2.78 eV/atom
Energy above the most stable polymorph in this dataset ... 7.147 eV/f.u.
Formation energy from raw total energies ... 1932 meV/atom



No. 7
Computed, not measured: Rb3ScSi after structural relaxation at the GGA-PBE level of DFT.

Unit cell a=7.056 b=7.056 c=7.056 alpha=90.00 beta=90.00 gamma=90.00
Fractional coordinates of all 5 atoms:
Rb (0.000, 0.000, 0.500)
Rb (0.000, 0.500, 0.000)
Rb (0.500, 0.000, 0.000)
Sc (0.000, 0.000, 0.000)
Si (0.500, 0.500, 0.500)

Computed properties:
Space-group type ... Pm-3m (221)
Total magnetic moment ... 0.86 μB/atom
DOS(E_F) ... 3.40 states/eV per atom
Energy ... -1.61 eV/atom
Formation energy from raw total energies ... 1321 meV/atom



No. 8
Computed, not measured: Rb2ScSi4 after structural relaxation at the GGA-PBE level of DFT.

Unit cell a=5.179 b=5.179 c=17.893 alpha=90.00 beta=90.00 gamma=90.00
Fractional coordinates of all 14 atoms:
Rb (0.000, 0.000, 0.154)
Rb (0.000, 0.000, 0.846)
Rb (0.500, 0.500, 0.346)
Rb (0.500, 0.500, 0.654)
Sc (0.000, 0.000, 0.500)
Sc (0.500, 0.500, 0.000)
Si (0.000, 0.000, 0.363)
Si (0.000, 0.000, 0.637)
Si (0.000, 0.500, 0.000)
Si (0.000, 0.500, 0.500)
Si (0.500, 0.000, 0.000)
Si (0.500, 0.000, 0.500)
Si (0.500, 0.500, 0.137)
Si (0.500, 0.500, 0.863)

Computed properties:
Space-group type ... I4/mmm (139)
Total magnetic moment ... 0.00 μB/atom
DOS(E_F) ... 1.04 states/eV per atom
Energy ... -3.62 eV/atom
Formation energy from raw total energies ... 656 meV/atom



No. 9
Computed, not measured: RbScSi3 after structural relaxation at the GGA-PBE level of DFT.

Unit cell a=5.189 b=5.189 c=5.189 alpha=90.00 beta=90.00 gamma=90.00
Fractional coordinates of all 5 atoms:
Rb (0.000, 0.000, 0.000)
Sc (0.500, 0.500, 0.500)
Si (0.000, 0.500, 0.500)
Si (0.500, 0.000, 0.500)
Si (0.500, 0.500, 0.000)

Computed properties:
Space-group type ... Pm-3m (221)
Total magnetic moment ... 0.00 μB/atom
DOS(E_F) ... 0.53 states/eV per atom
Energy ... -4.21 eV/atom
Energy above the most stable polymorph in this dataset ... 0.000 eV/f.u.
Formation energy from raw total energies ... 503 meV/atom



No. 10
Computed, not measured: Rb2ScSi after structural relaxation at the GGA-PBE level of DFT.

Unit cell a=13.584 b=13.584 c=5.158 alpha=90.00 beta=90.00 gamma=90.00
Fractional coordinates of all 16 atoms:
Rb (0.072, 0.750, 0.125)
Rb (0.250, 0.072, 0.875)
Rb (0.250, 0.428, 0.375)
Rb (0.428, 0.750, 0.625)
Rb (0.572, 0.250, 0.625)
Rb (0.750, 0.572, 0.375)
Rb (0.750, 0.928, 0.875)
Rb (0.928, 0.250, 0.125)
Sc (0.000, 0.000, 0.500)
Sc (0.000, 0.500, 0.750)
Sc (0.500, 0.000, 0.250)
Sc (0.500, 0.500, 0.000)
Si (0.000, 0.000, 0.000)
Si (0.000, 0.500, 0.250)
Si (0.500, 0.000, 0.750)
Si (0.500, 0.500, 0.500)

Computed properties:
Space-group type ... I-42d (122)
Total magnetic moment ... 0.24 μB/atom
DOS(E_F) ... 0.44 states/eV per atom
Energy ... -3.02 eV/atom
Formation energy from raw total energies ... 405 meV/atom



No. 11
Computed, not measured: RbSc2Si2 after structural relaxation at the GGA-PBE level of DFT.

Unit cell a=8.495 b=8.495 c=3.051 alpha=90.00 beta=90.00 gamma=90.00
Fractional coordinates of all 10 atoms:
Rb (0.000, 0.000, 0.000)
Rb (0.500, 0.500, 0.000)
Sc (0.133, 0.367, 0.000)
Sc (0.367, 0.867, 0.000)
Sc (0.633, 0.133, 0.000)
Sc (0.867, 0.633, 0.000)
Si (0.158, 0.658, 0.500)
Si (0.342, 0.158, 0.500)
Si (0.658, 0.842, 0.500)
Si (0.842, 0.342, 0.500)

Computed properties:
Space-group type ... P4/mbm (127)
Total magnetic moment ... 0.00 μB/atom
DOS(E_F) ... 0.64 states/eV per atom
Energy ... -5.11 eV/atom
Formation energy from raw total energies ... -220 meV/atom



No. 12
Computed, not measured: RbScSi2 after structural relaxation at the GGA-PBE level of DFT.

Unit cell a=7.216 b=7.216 c=7.216 alpha=90.00 beta=90.00 gamma=90.00
Fractional coordinates of all 16 atoms:
Rb (0.000, 0.000, 0.000)
Rb (0.000, 0.500, 0.500)
Rb (0.500, 0.000, 0.500)
Rb (0.500, 0.500, 0.000)
Sc (0.000, 0.000, 0.500)
Sc (0.000, 0.500, 0.000)
Sc (0.500, 0.000, 0.000)
Sc (0.500, 0.500, 0.500)
Si (0.250, 0.250, 0.250)
Si (0.250, 0.250, 0.750)
Si (0.250, 0.750, 0.250)
Si (0.250, 0.750, 0.750)
Si (0.750, 0.250, 0.250)
Si (0.750, 0.250, 0.750)
Si (0.750, 0.750, 0.250)
Si (0.750, 0.750, 0.750)

Computed properties:
Space-group type ... Fm-3m (225)
Total magnetic moment ... 0.00 μB/atom
DOS(E_F) ... 0.67 states/eV per atom
Energy ... -4.05 eV/atom
Energy above the most stable polymorph in this dataset ... 0.837 eV/f.u.
Formation energy from raw total energies ... 490 meV/atom